Here is a relaxed structure of Y10Mn13C18 from Alexandria via LeMat-Bulk. Energies are from PBE.

Unit cell a=10.097 b=10.097 c=10.097 alpha=90.00 beta=90.00 gamma=90.00
Space group I-43m (No. 217)
Inequivalent atoms, fractional coordinates:
Y 0.000 0.250 0.500 (multiplicity 12)
Y 0.205 0.205 0.795 (multiplicity 8)
Mn 0.000 0.000 0.000 (multiplicity 2)
Mn 0.076 0.076 0.256 (multiplicity 24)
C 0.000 0.000 0.431 (multiplicity 12)
C 0.038 0.257 0.257 (multiplicity 24)

## Properties
- ΔE_f: -304 meV/atom